1.
An optimized crystal structure of V2InNi. Source: Alexandria via LeMat-Bulk, functional PBE.

Lattice parameters (Å, degrees): 7.0107 7.0107 5.5851 51.12 51.12 90.00
Element x y z (fractional)
Ni (0.5000, 0.5000, 0.0000)
Ni (0.2500, 0.7500, 0.5000)
In (0.0000, 0.0000, 0.0000)
In (0.7500, 0.2500, 0.5000)
V (0.5814, 0.1250, 0.2500)
V (0.1686, 0.6250, 0.2500)
V (0.3750, 0.4186, 0.7500)
V (0.8750, 0.8314, 0.7500)

2.
An optimized crystal structure of V2InNi2. Source: Alexandria via LeMat-Bulk, functional PBE.

Lattice parameters (Å, degrees): 3.7334 3.7334 5.9339 71.66 71.66 90.00
Element x y z (fractional)
Ni (0.3946, 0.3946, 0.2109)
Ni (0.6054, 0.6054, 0.7891)
In (0.0000, 0.0000, 0.0000)
V (0.7500, 0.2500, 0.5000)
V (0.2500, 0.7500, 0.5000)

3.
An optimized crystal structure of V3InNi. Source: Alexandria via LeMat-Bulk, functional PBE.

Lattice parameters (Å, degrees): 4.9743 4.9743 4.9743 90.00 90.00 90.00
Element x y z (fractional)
Ni (0.5000, 0.5000, 0.5000)
In (0.0000, 0.0000, 0.0000)
V (0.0000, 0.5000, 0.0000)
V (0.0000, 0.0000, 0.5000)
V (0.5000, 0.0000, 0.0000)

Polymorph energy (0 for the lowest one), eV per atom: 1.357

4.
An optimized crystal structure of VInNi3. Source: Alexandria via LeMat-Bulk, functional PBE.

Lattice parameters (Å, degrees): 4.3555 4.3555 4.3555 90.00 90.00 90.00
Element x y z (fractional)
Ni (0.0000, 0.5000, 0.0000)
Ni (0.0000, 0.0000, 0.5000)
Ni (0.5000, 0.0000, 0.0000)
In (0.5000, 0.5000, 0.5000)
V (0.0000, 0.0000, 0.0000)

5.
An optimized crystal structure of V3InNi. Source: Alexandria via LeMat-Bulk, functional PBE.

Lattice parameters (Å, degrees): 4.3949 4.3949 4.3949 90.00 90.00 90.00
Element x y z (fractional)
Ni (0.0000, 0.0000, 0.0000)
In (0.5000, 0.5000, 0.5000)
V (0.0000, 0.5000, 0.0000)
V (0.0000, 0.0000, 0.5000)
V (0.5000, 0.0000, 0.0000)

Polymorph energy (0 for the lowest one), eV per atom: 0.000

6.
An optimized crystal structure of VIn2Ni. Source: Alexandria via LeMat-Bulk, functional PBE.

Lattice parameters (Å, degrees): 2.9883 2.9883 9.8489 81.27 81.27 60.00
Element x y z (fractional)
Ni (0.5000, 0.5000, 0.5000)
V (0.0000, 0.0000, 0.0000)
In (0.0953, 0.0953, 0.7142)
In (0.9047, 0.9047, 0.2858)

Polymorph energy (0 for the lowest one), eV per atom: 0.400

7.
An optimized crystal structure of VInNi6. Source: Alexandria via LeMat-Bulk, functional PBE.

Lattice parameters (Å, degrees): 3.6515 3.6515 7.2698 90.00 90.00 90.00
Element x y z (fractional)
V (0.0000, 0.0000, 0.5000)
In (0.0000, 0.0000, 0.0000)
Ni (0.5000, 0.5000, 0.0000)
Ni (0.5000, 0.5000, 0.5000)
Ni (0.5000, 0.0000, 0.2695)
Ni (0.5000, 0.0000, 0.7305)
Ni (0.0000, 0.5000, 0.2695)
Ni (0.0000, 0.5000, 0.7305)

8.
An optimized crystal structure of VIn2Ni2. Source: Alexandria via LeMat-Bulk, functional PBE.

Lattice parameters (Å, degrees): 6.3443 6.3443 3.9887 90.00 90.00 90.00
Element x y z (fractional)
Ni (0.3690, 0.8690, 0.0000)
Ni (0.8690, 0.6310, 0.0000)
Ni (0.6310, 0.1310, 0.0000)
Ni (0.1310, 0.3690, 0.0000)
In (0.1773, 0.6773, 0.5000)
In (0.6773, 0.8227, 0.5000)
In (0.8227, 0.3227, 0.5000)
In (0.3227, 0.1773, 0.5000)
V (0.0000, 0.0000, 0.0000)
V (0.5000, 0.5000, 0.0000)

9.
An optimized crystal structure of YVInNi2. Source: Alexandria via LeMat-Bulk, functional PBE.

Lattice parameters (Å, degrees): 4.6999 4.9487 4.6999 90.00 90.00 90.00
Element x y z (fractional)
Y (0.5000, 0.5000, 0.5000)
Ni (0.0000, 0.0000, 0.5000)
Ni (0.5000, 0.0000, 0.0000)
V (0.0000, 0.5000, 0.0000)
In (0.0000, 0.0000, 0.0000)

10.
An optimized crystal structure of InNiW2. Source: Alexandria via LeMat-Bulk, functional PBE.

Lattice parameters (Å, degrees): 3.2629 3.2629 6.1886 90.00 90.00 90.00
Element x y z (fractional)
In (0.5000, 0.5000, 0.2500)
Ni (0.5000, 0.5000, 0.7500)
W (0.0000, 0.0000, 0.9455)
W (0.0000, 0.0000, 0.5545)

11.
An optimized crystal structure of InNiW2. Source: Alexandria via LeMat-Bulk, functional PBE.

Lattice parameters (Å, degrees): 2.7524 3.9793 5.9339 90.00 90.00 90.00
Element x y z (fractional)
In (0.0000, 0.0000, 0.5158)
Ni (0.5000, 0.5000, 0.7621)
W (0.0000, 0.0000, 0.9945)
W (0.5000, 0.5000, 0.2275)

12.
An optimized crystal structure of InNiW2. Source: Alexandria via LeMat-Bulk, functional PBE.

Lattice parameters (Å, degrees): 3.2507 3.2507 6.1662 90.00 90.00 90.00
Element x y z (fractional)
In (0.0000, 0.0000, 0.5217)
Ni (0.5000, 0.5000, 0.7591)
W (0.0000, 0.0000, 0.0031)
W (0.5000, 0.5000, 0.2161)

E_form for the records above, in order: 0.43; 0.11; 2.03; 0.82; 0.67; 0.56; -0.18; 0.09; 0.76; 0.50; 0.40; 0.29 eV/atom